Entry 1:
# BaNa3Sn PBE relaxed
data_BaNa3Sn
_chemical_formula_sum 'Ba1 Na3 Sn1'
_cell_length_a 5.950
_cell_length_b 5.950
_cell_length_c 5.950
_cell_angle_alpha 90.00
_cell_angle_beta 90.00
_cell_angle_gamma 90.00
_space_group_name_H-M_alt 'P 1'
_space_group_IT_number 1
loop_
_space_group_symop_operation_xyz
'x,y,z'
loop_
_atom_site_label
_atom_site_fract_x
_atom_site_fract_y
_atom_site_fract_z
_atom_site_occupancy
Na1 0.500 0.000 0.000 1
Na2 0.000 0.500 0.000 1
Na3 0.000 0.000 0.500 1
Ba1 0.500 0.500 0.500 1
Sn1 0.000 0.000 0.000 1
# - total DFT energy (no corrections) (eV per atom) = -1.99
# - calculated formation energy (eV per atom) = -0.011
# - offset from the most stable computed form (eV per atom) = 0.000
# - calculated volume (Å³/cell) = 210.6



Entry 2:
# BaNaSn PBE relaxed
data_BaNaSn
_chemical_formula_sum 'Ba1 Na1 Sn1'
_cell_length_a 5.424
_cell_length_b 5.424
_cell_length_c 5.424
_cell_angle_alpha 60.00
_cell_angle_beta 60.00
_cell_angle_gamma 60.00
_space_group_name_H-M_alt 'P 1'
_space_group_IT_number 1
loop_
_space_group_symop_operation_xyz
'x,y,z'
loop_
_atom_site_label
_atom_site_fract_x
_atom_site_fract_y
_atom_site_fract_z
_atom_site_occupancy
Na1 0.250 0.250 0.250 1
Ba1 0.500 0.500 0.500 1
Sn1 0.000 0.000 0.000 1
# - total DFT energy (no corrections) (eV per atom) = -2.60
# - calculated formation energy (eV per atom) = -0.183
# - offset from the most stable computed form (eV per atom) = 0.245
# - calculated volume (Å³/cell) = 112.9



Entry 3:
# BaNaSn PBE relaxed
data_BaNaSn
_chemical_formula_sum 'Ba1 Na1 Sn1'
_cell_length_a 4.401
_cell_length_b 4.401
_cell_length_c 6.473
_cell_angle_alpha 109.88
_cell_angle_beta 109.88
_cell_angle_gamma 90.00
_space_group_name_H-M_alt 'P 1'
_space_group_IT_number 1
loop_
_space_group_symop_operation_xyz
'x,y,z'
loop_
_atom_site_label
_atom_site_fract_x
_atom_site_fract_y
_atom_site_fract_z
_atom_site_occupancy
Na1 0.923 0.923 0.846 1
Sn1 0.301 0.301 0.602 1
Ba1 0.626 0.626 0.252 1
# - total DFT energy (no corrections) (eV per atom) = -2.69
# - calculated formation energy (eV per atom) = -0.276
# - offset from the most stable computed form (eV per atom) = 0.153
# - calculated volume (Å³/cell) = 109.9



Repeat the second record exactly.
# BaNaSn PBE relaxed
data_BaNaSn
_chemical_formula_sum 'Ba1 Na1 Sn1'
_cell_length_a 5.424
_cell_length_b 5.424
_cell_length_c 5.424
_cell_angle_alpha 60.00
_cell_angle_beta 60.00
_cell_angle_gamma 60.00
_space_group_name_H-M_alt 'P 1'
_space_group_IT_number 1
loop_
_space_group_symop_operation_xyz
'x,y,z'
loop_
_atom_site_label
_atom_site_fract_x
_atom_site_fract_y
_atom_site_fract_z
_atom_site_occupancy
Na1 0.250 0.250 0.250 1
Ba1 0.500 0.500 0.500 1
Sn1 0.000 0.000 0.000 1
# - total DFT energy (no corrections) (eV per atom) = -2.60
# - calculated formation energy (eV per atom) = -0.183
# - offset from the most stable computed form (eV per atom) = 0.245
# - calculated volume (Å³/cell) = 112.9



Question: Look up the offset from the most stable computed form of the third one.
Answer: 0.153 eV per atom



Question: The lowest calculated formation energy belongs to which entry?
Answer: number 3



Repeat the first record exactly.
# BaNa3Sn PBE relaxed
data_BaNa3Sn
_chemical_formula_sum 'Ba1 Na3 Sn1'
_cell_length_a 5.950
_cell_length_b 5.950
_cell_length_c 5.950
_cell_angle_alpha 90.00
_cell_angle_beta 90.00
_cell_angle_gamma 90.00
_space_group_name_H-M_alt 'P 1'
_space_group_IT_number 1
loop_
_space_group_symop_operation_xyz
'x,y,z'
loop_
_atom_site_label
_atom_site_fract_x
_atom_site_fract_y
_atom_site_fract_z
_atom_site_occupancy
Na1 0.500 0.000 0.000 1
Na2 0.000 0.500 0.000 1
Na3 0.000 0.000 0.500 1
Ba1 0.500 0.500 0.500 1
Sn1 0.000 0.000 0.000 1
# - total DFT energy (no corrections) (eV per atom) = -1.99
# - calculated formation energy (eV per atom) = -0.011
# - offset from the most stable computed form (eV per atom) = 0.000
# - calculated volume (Å³/cell) = 210.6